No. 1
A geometry-optimized LaHfTi2W structure. Source: Alexandria via LeMat-Bulk, functional GGA-PBE.

Cell: 4.875 4.875 5.334 Å, 90.00 90.00 90.00°
Fractional positions:
La 0.000 0.000 0.000
Hf 0.500 0.500 0.000
Ti 0.000 0.500 0.500
Ti 0.500 0.000 0.500
W 0.000 0.000 0.500

E_form   5.07 eV/f.u.


No. 2
A geometry-optimized BaNi2Hg structure. Source: Alexandria via LeMat-Bulk, functional GGA-PBE.

Cell: 3.374 3.374 7.484 Å, 90.00 90.00 90.00°
Fractional positions:
Ba 0.000 0.000 0.000
Ni 0.000 0.000 0.605
Ni 0.500 0.500 0.696
Hg 0.500 0.500 0.352

E_form   0.81 eV/f.u.


No. 3
A geometry-optimized CaAgRh structure. Source: Alexandria via LeMat-Bulk, functional GGA-PBE.

Cell: 5.428 5.428 5.428 Å, 142.06 142.06 54.73°
Fractional positions:
Ca 0.000 0.000 0.000
Ag 0.308 0.308 0.000
Rh 0.670 0.670 0.000

E_form   -0.32 eV/f.u.


No. 4
A geometry-optimized SrRe2Ni structure. Source: Alexandria via LeMat-Bulk, functional GGA-PBE.

Cell: 5.790 5.790 5.790 Å, 142.09 142.09 54.70°
Fractional positions:
Sr 0.000 0.000 0.000
Re 0.250 0.750 0.500
Re 0.750 0.250 0.500
Ni 0.500 0.500 0.000

E_form   4.18 eV/f.u.


No. 5
A geometry-optimized Ca2InAs structure. Source: Alexandria via LeMat-Bulk, functional GGA-PBE.

Cell: 5.637 5.637 5.637 Å, 130.47 128.50 74.25°
Fractional positions:
Ca 0.244 0.244 0.000
Ca 0.756 0.756 0.000
In 0.500 0.000 0.500
As 0.000 0.500 0.500

E_form   -2.50 eV/f.u.


No. 6
A geometry-optimized CdAg3F6 structure. Source: Alexandria via LeMat-Bulk, functional GGA-PBE.

Cell: 5.740 6.016 10.737 Å, 90.00 121.33 90.00°
Fractional positions:
Cd 0.000 0.000 0.000
Cd 0.000 0.500 0.500
Ag 0.290 0.074 0.765
Ag 0.290 0.426 0.265
Ag 0.500 0.000 0.500
Ag 0.500 0.500 0.000
Ag 0.710 0.574 0.735
Ag 0.710 0.926 0.235
F 0.062 0.091 0.220
F 0.062 0.409 0.720
F 0.286 0.703 0.091
F 0.286 0.797 0.591
F 0.390 0.200 0.079
F 0.390 0.300 0.579
F 0.610 0.700 0.421
F 0.610 0.800 0.921
F 0.714 0.203 0.409
F 0.714 0.297 0.909
F 0.938 0.591 0.280
F 0.938 0.909 0.780

Raw formation energy   -1.38 eV/atom


No. 7
A geometry-optimized CaSiW2 structure. Source: Alexandria via LeMat-Bulk, functional GGA-PBE.

Cell: 9.995 9.995 9.995 Å, 156.36 156.36 33.68°
Fractional positions:
Ca 0.000 0.000 0.000
Ca 0.750 0.250 0.500
Si 0.250 0.750 0.500
Si 0.500 0.500 0.000
W 0.198 0.125 0.573
W 0.375 0.802 0.927
W 0.552 0.625 0.427
W 0.875 0.448 0.073

Raw formation energy   0.85 eV/atom


No. 8
A geometry-optimized HoCd6Hg2 structure. Source: Alexandria via LeMat-Bulk, functional GGA-PBE.

Cell: 8.869 8.869 3.221 Å, 100.44 100.44 59.49°
Fractional positions:
Ho 0.000 0.000 0.000
Cd 0.004 0.343 0.672
Cd 0.327 0.673 0.500
Cd 0.343 0.004 0.672
Cd 0.657 0.996 0.328
Cd 0.673 0.327 0.500
Cd 0.996 0.657 0.328
Hg 0.350 0.350 0.859
Hg 0.650 0.650 0.141

E_form   -0.78 eV/f.u.


Magnetization per entry: 0.0; 0.0; 0.0; 0.4; 0.0; 1.0; 0.0; 0.0 μB per formula unit